First-principles (PBE) data for a geometry-optimized KSr2Ac structure, as listed in Alexandria.

Results
energy above the lowest structure with this stoichiometry	1	meV/atom
crystal system	trigonal
E_form	0.097	eV per atom

Lattice parameters (Å, degrees): 4.1843 4.1843 42.7563 90.00 90.00 120.00
With the nearest neighbours (Å) after each atom.
Space group R3m (No. 160, hexagonal axes)
Asymmetric unit:
K (0.0000, 0.0000, 0.0000)  6 K 4.18, 6 Sr 4.53
Sr (0.0000, 0.0000, 0.4229)  3 Ac 4.09, 6 Sr 4.18, 3 K 4.53
Sr (0.0000, 0.0000, 0.5771)  3 Ac 4.09, 6 Sr 4.18, 3 K 4.53
Ac (0.0000, 0.0000, 0.8333)  6 Sr 4.09, 6 Ac 4.18